# 1
Li3SmAsP | PBE | optimized geometry

a = 4.180 Å, b = 4.180 Å, c = 6.737 Å
α = 90.00°, β = 90.00°, γ = 120.00°
Atoms (fractional coordinates):
1 Li 0.000 0.000 0.000
2 Li 0.333 0.667 0.288
3 Li 0.667 0.333 0.142
4 Sm 0.667 0.333 0.634
5 As 0.333 0.667 0.898
6 P 0.000 0.000 0.385

Computed properties:
The space group is P3m1.

***

# 2
Li2As2Pd | PBE | optimized geometry

a = 6.412 Å, b = 6.412 Å, c = 4.132 Å
α = 90.00°, β = 90.00°, γ = 90.00°
Atoms (fractional coordinates):
1 Li 0.168 0.332 0.000
2 Li 0.332 0.832 0.000
3 Li 0.668 0.168 0.000
4 Li 0.832 0.668 0.000
5 As 0.137 0.637 0.500
6 As 0.363 0.137 0.500
7 As 0.637 0.863 0.500
8 As 0.863 0.363 0.500
9 Pd 0.000 0.000 0.500
10 Pd 0.500 0.500 0.500

Computed properties:
The space group is P4/mbm.

***

Sequential DFT total energy output: -4.4130 -4.2388 eV per atom